Record 1
Here is a geometry-optimized Pm3Y8Ho2 structure from Alexandria. Energies are from PBE.

The value obtained for the formation energy is 0.019 eV/atom. As for the volume: 421.9 Å³/cell. The total DFT energy (no corrections) is -0.4233 Ry/atom. For the total magnetic moment, the calculation gives 0.00 μB/f.u. For the distance to the lowest polymorph of the same formula, the calculation gives 0.0 meV/atom.

The space group is P-1 (No. 2) and the conventional cell measures 6.201, 6.204 and 11.323 Å, with angles of 89.96, 79.38 and 80.40 degrees. The inequivalent atoms are Pm at (0.000, 0.000, 0.000), Pm at (0.386, 0.768, 0.462), Y at (0.076, 0.156, 0.694), Y at (0.154, 0.307, 0.384), Y at (0.309, 0.616, 0.771), Y at (0.460, 0.922, 0.152) and Ho at (0.230, 0.462, 0.076).



Record 2
Here is a geometry-optimized SrCdSn structure from Alexandria. Energies are from PBE.

The value obtained for the formation energy is 0.102 eV/atom. As for the volume: 203.0 Å³/cell. The total DFT energy (no corrections) is -0.1542 Ry/atom. For the total magnetic moment, the calculation gives 0.00 μB/f.u.

The space group is I4mm (No. 107) and the conventional cell measures 3.429, 3.429 and 17.269 Å, with angles of 90.00, 90.00 and 90.00 degrees. The inequivalent atoms are Sr at (0.000, 0.000, 0.000), Cd at (0.000, 0.000, 0.644) and Sn at (0.000, 0.000, 0.810).



Record 3
Here is a geometry-optimized CaAc2P structure from Alexandria. Energies are from PBE.

The value obtained for the formation energy is -0.494 eV/atom. As for the volume: 146.6 Å³/cell. The total DFT energy (no corrections) is -0.3235 Ry/atom. For the total magnetic moment, the calculation gives 0.00 μB/f.u. For the distance to the lowest polymorph of the same formula, the calculation gives 140.4 meV/atom.

The space group is P4/mmm (No. 123) and the conventional cell measures 3.827, 3.827 and 10.007 Å, with angles of 90.00, 90.00 and 90.00 degrees. The inequivalent atoms are Ca at (0.000, 0.000, 0.000), Ac at (0.500, 0.500, 0.327) and P at (0.000, 0.000, 0.500).



Record 4
Here is a geometry-optimized Rb3Li2YF9 structure from Alexandria. Energies are from PBE.

As for the volume: 239.1 Å³/cell. The total DFT energy (no corrections) is -0.3652 Ry/atom. For the total magnetic moment, the calculation gives 1.16 μB/f.u. The value obtained for the uncorrected formation energy is -2.97 eV per atom.

The space group is P-3m1 (No. 164) and the conventional cell measures 6.0146, 6.0146 and 7.6322 Å, with angles of 90.00, 90.00 and 120.00 degrees. The inequivalent atoms are Rb at (0.0000, 0.0000, 0.0000), Rb at (0.3333, 0.6667, 0.6941), Li at (0.3333, 0.6667, 0.1899), Y at (0.0000, 0.0000, 0.5000), F at (0.0000, 0.5000, 0.0000) and F at (0.1694, 0.3388, 0.3307).